! Sr2TlH | the Alexandria database | PBE | optimized geometry; values from VASP
&SYSTEM
  ibrav = 0, nat = 4, ntyp = 3
/
ATOMIC_SPECIES
Sr 87.62 Sr.upf
Tl 204.38 Tl.upf
H 1.01 H.upf
ATOMIC_POSITIONS crystal
Sr 0.250 0.250 0.250
Sr 0.750 0.750 0.750
Tl 0.500 0.500 0.500
H 0.000 0.000 0.000
CELL_PARAMETERS angstrom
-2.950 1.161 4.561
-5.431 1.092 -0.408
-3.720 -3.658 1.908
! space-group type: Fm-3m
! density: 5.21 g/cm3
! D(E_F): 1.5 states/eV/f.u.
! ΔE to the lowest computed polymorph: 0.430 eV/atom
! final energy: -2.2504 eV per atom
! V: 121.2 Å³/cell
! M_tot: 0.0 μB per formula unit

***

! Sr5Tl2H2 | the Alexandria database | PBE | optimized geometry; values from VASP
&SYSTEM
  ibrav = 0, nat = 18, ntyp = 3
/
ATOMIC_SPECIES
Sr 87.62 Sr.upf
Tl 204.38 Tl.upf
H 1.01 H.upf
ATOMIC_POSITIONS crystal
Sr 0.760 0.761 0.030
Sr 0.240 0.731 0.970
Sr 0.770 0.261 0.030
Sr 0.230 0.231 0.970
Sr 0.781 0.826 0.709
Sr 0.219 0.117 0.291
Sr 0.428 0.326 0.709
Sr 0.572 0.617 0.291
Sr 0.902 0.109 0.500
Sr 0.098 0.609 0.500
Tl 0.878 0.399 0.785
Tl 0.122 0.614 0.215
Tl 0.407 0.899 0.785
Tl 0.593 0.114 0.215
H 0.000 0.993 0.000
H 0.500 0.493 0.000
H 0.830 0.785 0.500
H 0.170 0.285 0.500
CELL_PARAMETERS angstrom
-2.076 -5.783 -4.961
6.270 1.120 -3.929
2.672 -4.290 10.167
! space-group type: Ima2
! density: 4.79 g/cm3
! D(E_F): 6.0 states/eV/f.u.
! final energy: -2.5372 eV per atom
! V: 589.0 Å³/cell
! M_tot: 0.0 μB per formula unit

***

! Sr2TlH | the Alexandria database | PBE | optimized geometry; values from VASP
&SYSTEM
  ibrav = 0, nat = 4, ntyp = 3
/
ATOMIC_SPECIES
Sr 87.62 Sr.upf
Tl 204.38 Tl.upf
H 1.01 H.upf
ATOMIC_POSITIONS crystal
Sr 0.065 0.065 0.804
Sr 0.267 0.267 0.199
Tl 0.499 0.499 0.503
H 0.669 0.669 0.994
CELL_PARAMETERS angstrom
-0.169 -2.984 -2.775
2.762 -3.000 0.061
-3.999 -6.369 4.096
! space-group type: R3m
! density: 5.33 g/cm3
! D(E_F): 2.1 states/eV/f.u.
! ΔE to the lowest computed polymorph: 0.177 eV/atom
! final energy: -2.5034 eV per atom
! V: 118.6 Å³/cell
! M_tot: 0.2 μB per formula unit

***

! Sr6TlH2 | the Alexandria database | PBE | optimized geometry; values from VASP
&SYSTEM
  ibrav = 0, nat = 9, ntyp = 3
/
ATOMIC_SPECIES
Sr 87.62 Sr.upf
Tl 204.38 Tl.upf
H 1.01 H.upf
ATOMIC_POSITIONS crystal
Sr 0.664 0.762 0.909
Sr 0.336 0.238 0.091
Sr 0.009 0.756 0.227
Sr 0.301 0.780 0.618
Sr 0.991 0.244 0.773
Sr 0.699 0.220 0.382
Tl 0.000 0.500 0.500
H 0.156 0.884 0.803
H 0.844 0.116 0.197
CELL_PARAMETERS angstrom
-3.563 -1.920 -1.268
-0.657 -6.107 3.999
-7.354 2.886 9.204
! space-group type: C2/m
! density: 3.52 g/cm3
! D(E_F): 6.9 states/eV/f.u.
! final energy: -2.3363 eV per atom
! V: 345.6 Å³/cell
! M_tot: 0.0 μB per formula unit

***

! Sr2TlH | the Alexandria database | PBE | optimized geometry; values from VASP
&SYSTEM
  ibrav = 0, nat = 4, ntyp = 3
/
ATOMIC_SPECIES
Sr 87.62 Sr.upf
Tl 204.38 Tl.upf
H 1.01 H.upf
ATOMIC_POSITIONS crystal
Sr 0.114 0.114 0.658
Sr 0.886 0.886 0.342
Tl 0.000 0.000 0.000
H 0.500 0.500 0.500
CELL_PARAMETERS angstrom
3.951 0.000 0.000
1.976 3.422 0.000
1.976 1.141 9.806
! space-group type: R-3m
! density: 4.77 g/cm3
! D(E_F): 2.4 states/eV/f.u.
! ΔE to the lowest computed polymorph: 0.369 eV/atom
! final energy: -2.3119 eV per atom
! V: 132.6 Å³/cell
! M_tot: 0.0 μB per formula unit

***

! SrY2TlH | the Alexandria database | PBE | optimized geometry; values from VASP
&SYSTEM
  ibrav = 0, nat = 5, ntyp = 4
/
ATOMIC_SPECIES
Y 88.91 Y.upf
Sr 87.62 Sr.upf
Tl 204.38 Tl.upf
H 1.01 H.upf
ATOMIC_POSITIONS crystal
Y 0.000 0.000 0.500
Y 0.500 0.000 0.000
Sr 0.000 0.000 0.000
Tl 0.000 0.500 0.000
H 0.500 0.500 0.500
CELL_PARAMETERS angstrom
-5.335 1.899 2.220
-1.465 -5.539 1.216
2.493 0.552 5.520
! space-group type: P4/mmm
! density: 3.61 g/cm3
! D(E_F): 6.6 states/eV/f.u.
! ΔE to the lowest computed polymorph: 1.735 eV/atom
! final energy: -2.5213 eV per atom
! V: 216.7 Å³/cell
! M_tot: 0.9 μB per formula unit

***

Question: V of number 5 (Sr2TlH)?
Answer: 132.6 Å³/cell

***

Question: What is the density in the second record?
Answer: 4.79 g/cm3